1.
The following is a DFT calculation (PBE) of KZrTe2H after structural relaxation.

Cell and atoms, written as POSCAR:
```
KZrTe2H
1.0
-0.1216 0.8162 -5.6582
-4.5350 -3.4596 -0.4015
-2.5625 3.2975 0.5307
Zr Te H K
1 2 1 1
Cartesian
0.0000 0.0000 0.0000 Zr
-0.0608 0.4081 -2.8291 Te
-2.2675 -1.7298 -0.2008 Te
-1.2812 1.6487 0.2654 H
-3.6096 0.3270 -2.7645 K
```

Results
energy above the lowest structure with this stoichiometry: 62 kJ/mol of formula units
space-group type: No. 123
crystal system: tetragonal
volume: 138 Å³ per cell

2.
The following is a DFT calculation (PBE) of KThH after structural relaxation.

Cell and atoms, written as POSCAR:
```
KThH
1.0
-1.3030 -0.9446 3.1323
-0.6463 -1.9699 -2.8425
11.9257 -7.7142 2.6345
K Th H
2 2 2
Cartesian
6.4620 -5.8409 2.9063 K
3.5539 -3.9597 2.2638 K
0.7206 -2.2531 -0.3797 Th
9.7917 -8.1208 1.6242 Th
-0.9236 -0.9843 1.2985 H
5.2271 -5.2417 0.5937 H
```

Results
E_tot: -0.13841 hartree per atom
space-group type: No. 38
crystal system: orthorhombic
volume: 155 Å³ per cell

3.
The following is a DFT calculation (PBE) of KThH4 after structural relaxation.

Cell and atoms, written as POSCAR:
```
KThH4
1.0
3.8325 0.0001 0.0016
-0.0001 3.8325 0.0024
-0.0028 -0.0042 6.4114
K H Th
1 4 1
Cartesian
1.9184 1.9017 6.4014 K
0.0030 1.9030 4.5044 H
0.0040 1.9046 1.8855 H
1.9203 3.8208 1.8875 H
1.9192 3.8194 4.5065 H
0.0035 3.8200 3.1962 Th
```

Results
E_tot: -0.14563 hartree per atom
space-group type: No. 123
crystal system: tetragonal
volume: 94 Å³ per cell